A geometry-optimized Rb2PtF structure. Source: the Alexandria database, functional PBE-GGA.

Properties
As for the energy above the most stable polymorph in this dataset: 0.0 meV per atom. The uncorrected formation energy is -778 meV/atom. Its total energy is -51.8 eV per cell. The total magnetization comes out at 1.000 μB per formula unit.

Geometry as CIF:
```
data_Rb2PtF
_chemical_formula_sum 'Rb8 Pt4 F4'
_cell_length_a 7.9612
_cell_length_b 7.9612
_cell_length_c 9.0229
_cell_angle_alpha 90.00
_cell_angle_beta 90.00
_cell_angle_gamma 90.00
_space_group_name_H-M_alt 'I -4 2 d'
_space_group_IT_number 122
_space_group_name_Hall 'I -4 2bw'
loop_
_atom_site_label
_atom_site_type_symbol
_atom_site_fract_x
_atom_site_fract_y
_atom_site_fract_z
Rb1 Rb 0.1715 0.2500 0.1250
Pt1 Pt 0.0000 0.0000 0.5000
F1 F 0.0000 0.0000 0.0000
```